Density functional theory data (meta-GGA SCAN) for a crystal of KHPdCl2 relaxed with PBEsol.

The calculation puts the total energy at -59.23 eV/cell. The value obtained for the spin magnetization is 0.4001 μB/atom.

a = 4.1772 Å, b = 5.4989 Å, c = 5.4989 Å
α = 90.00°, β = 90.00°, γ = 90.00°
With the nearest neighbours (Å) after each atom.
Sites, in units of the cell vectors:
K 0.0000 0.0000 0.0000  2 H 2.09
Cl 0.0000 0.5000 0.0000  2 K 2.75
Pd 0.5000 0.5000 0.5000  8 Cl 3.45
H 0.5000 0.0000 0.0000  2 K 2.09
Cl 0.0000 0.0000 0.5000  2 K 2.75

***

Density functional theory data (meta-GGA SCAN) for a crystal of LaHSCl2 relaxed with PBEsol.

The calculation puts the total energy at -77.65 eV/cell. The value obtained for the spin magnetization is 0.0000 μB/atom.

a = 4.1807 Å, b = 4.5204 Å, c = 4.5204 Å
α = 90.00°, β = 90.00°, γ = 90.00°
With the nearest neighbours (Å) after each atom.
Sites, in units of the cell vectors:
La 0.5000 0.5000 0.5000  8 Cl 3.08, 4 S 3.20
Cl 0.0000 0.0000 0.5000  2 H 2.26
Cl 0.0000 0.5000 0.0000  2 H 2.26
S 0.5000 0.0000 0.0000  2 H 2.09
H 0.0000 0.0000 0.0000  2 S 2.09, 4 Cl 2.26